Density functional theory data (PBE-GGA) for a relaxed GaRe2PbSe crystal.

VASP energy = -5.1679 eV per atom
formation energy (no corrections) = 1855 meV/atom

a = 4.6904 Å, b = 5.2336 Å, c = 4.6904 Å
α = 90.00°, β = 90.00°, γ = 90.00°
Positions (direct):
1 Pb 0.0000 0.5000 0.0000
2 Re 0.0000 0.0000 0.5000
3 Re 0.5000 0.0000 0.0000
4 Ga 0.0000 0.0000 0.0000
5 Se 0.5000 0.5000 0.5000